Compound: SnIrOsC
Source: the Alexandria database
Functional: PBE-GGA
Structure: relaxed

Unit cell a=2.876 b=2.952 c=7.054 alpha=90.00 beta=101.83 gamma=90.00
Sites, in units of the cell vectors:
Os 0.323 0.500 0.385
Ir 0.144 0.000 0.034
C 0.771 0.000 0.282
Sn 0.510 0.500 0.768

Output
The value obtained for the calculated total energy is -7.8531 eV/atom. Its formation energy is 46.0 kJ per mole of atoms. Its space group is Pm.

Compound: BeAg2Mo
Source: the Alexandria database
Functional: PBE-GGA
Structure: relaxed

Unit cell a=5.532 b=5.532 c=5.532 alpha=151.87 beta=129.85 gamma=58.49
Sites, in units of the cell vectors:
Ag 0.999 0.999 0.000
Ag 0.709 0.209 0.500
Be 0.502 0.502 0.000
Mo 0.291 0.791 0.500

Output
The value obtained for the calculated total energy is -4.5880 eV/atom. Its formation energy is 46.0 kJ per mole of atoms. Its space group is Imm2.

Compound: DyEr5Ni2
Source: the Alexandria database
Functional: PBE-GGA
Structure: relaxed

Unit cell a=3.597 b=6.726 c=18.168 alpha=90.00 beta=90.00 gamma=105.56
Sites, in units of the cell vectors:
Er 0.558 0.117 0.250
Er 0.938 0.876 0.914
Ni 0.297 0.594 0.638
Er 0.325 0.649 0.061
Ni 0.704 0.406 0.138
Er 0.442 0.883 0.750
Ni 0.703 0.406 0.362
Er 0.062 0.124 0.414
Er 0.062 0.124 0.086
Er 0.675 0.351 0.561
Er 0.675 0.351 0.939
Er 0.325 0.649 0.439
Er 0.938 0.876 0.586
Dy 0.282 0.561 0.250
Dy 0.718 0.439 0.750
Ni 0.296 0.594 0.862

Output
The value obtained for the calculated total energy is -5.0419 eV/atom. Its formation energy is -16.4 kJ per mole of atoms. Its space group is P2_1/m.

Compound: TbZnHgAu
Source: the Alexandria database
Functional: PBE-GGA
Structure: relaxed

Unit cell a=4.908 b=4.908 c=4.908 alpha=60.00 beta=60.00 gamma=60.00
Sites, in units of the cell vectors:
Au 0.250 0.250 0.250
Tb 0.500 0.500 0.500
Zn 0.000 0.000 0.000
Hg 0.750 0.750 0.750

Output
The value obtained for the calculated total energy is -2.8470 eV/atom. Its formation energy is -45.9 kJ per mole of atoms. Its space group is F-43m.